# 1
First-principles (GGA-PBE) data for YPuOsPd after structural relaxation, as listed in the Alexandria database.

```
YPuOsPd
1.0
0.0000 3.4513 3.4513
3.4513 0.0000 3.4513
3.4513 3.4513 0.0000
Y Pu Os Pd
1 1 1 1
direct
0.0000 0.0000 0.0000
0.5000 0.5000 0.5000
0.7500 0.7500 0.7500
0.2500 0.2500 0.2500
```

* calculated density: 12.71 g cm⁻³
* DOS at the Fermi energy: 8.47 states/eV per cell
* formation energy: -0.310 eV/atom
* total magnetization: 1.176 μB per atom
* uncorrected energy: -38.5 eV per formula unit



# 2
First-principles (GGA-PBE) data for Ni2HgTe4 after structural relaxation, as listed in the Alexandria database.

```
Ni2HgTe4
1.0
1.9393 1.1196 13.0747
-1.9393 1.1196 13.0747
0.0000 -2.2393 13.0747
Ni Hg Te
2 1 4
direct
0.0677 0.0677 0.0677
0.9323 0.9323 0.9323
0.5000 0.5000 0.5000
0.2320 0.2320 0.2320
0.3675 0.3675 0.3675
0.6325 0.6325 0.6325
0.7680 0.7680 0.7680
```

* calculated density: 8.08 g cm⁻³
* DOS at the Fermi energy: 4.23 states/eV per cell
* formation energy (no corrections): -0.1722 eV per atom
* total magnetization: 0.000 μB per atom
* uncorrected energy: -25.6 eV per formula unit



# 3
First-principles (GGA-PBE) data for Ac8Pd3RhI4 after structural relaxation, as listed in the Alexandria database.

```
Ac8Pd3RhI4
1.0
4.4568 2.5731 8.6664
-4.4568 2.5731 8.6664
0.0000 -5.1463 8.6664
Ac Pd Rh I
8 3 1 4
direct
0.2292 0.2292 0.2292
0.2360 0.7254 0.7254
0.2746 0.2746 0.7640
0.2746 0.7640 0.2746
0.7254 0.2360 0.7254
0.7254 0.7254 0.2360
0.7640 0.2746 0.2746
0.7708 0.7708 0.7708
0.0000 0.0000 0.5000
0.0000 0.5000 0.0000
0.5000 0.0000 0.0000
0.5000 0.5000 0.5000
0.0000 0.0000 0.0000
0.0000 0.5000 0.5000
0.5000 0.0000 0.5000
0.5000 0.5000 0.0000
```

* calculated density: 7.65 g cm⁻³
* DOS at the Fermi energy: 11.80 states/eV per cell
* formation energy (no corrections): -0.9899 eV per atom
* total magnetization: 0.000 μB per atom
* uncorrected energy: -77.8 eV per formula unit



# 4
First-principles (GGA-PBE) data for MoPtRh2 after structural relaxation, as listed in the Alexandria database.

```
MoPtRh2
1.0
4.5821 -1.3739 0.0000
4.5821 1.3739 0.0000
-0.8189 0.0000 4.7264
Mo Pt Rh
1 1 2
direct
0.0000 0.0000 0.0000
0.5000 0.5000 0.5000
0.2534 0.2534 0.7562
0.7466 0.7466 0.2438
```

* calculated density: 13.86 g cm⁻³
* DOS at the Fermi energy: 4.87 states/eV per cell
* formation energy: -0.166 eV/atom
* total magnetization: 0.000 μB per atom
* uncorrected energy: -32.2 eV per formula unit



# 5
First-principles (GGA-PBE) data for Sn4AuSe2S after structural relaxation, as listed in the Alexandria database.

```
Sn4AuSe2S
1.0
7.2111 0.0000 0.0000
0.0000 4.1011 0.0000
-2.3545 0.0000 6.9170
Sn Au Se S
4 1 2 1
direct
0.2311 0.0000 0.2431
0.2360 0.5000 0.7490
0.7640 0.5000 0.2510
0.7689 0.0000 0.7569
0.0000 0.5000 0.0000
0.5000 0.0000 0.0000
0.5000 0.5000 0.5000
0.0000 0.0000 0.5000
```

* calculated density: 7.00 g cm⁻³
* DOS at the Fermi energy: 2.55 states/eV per cell
* formation energy (no corrections): -0.3246 eV per atom
* total magnetization: 0.000 μB per atom
* uncorrected energy: -33.0 eV per formula unit



# 6
First-principles (GGA-PBE) data for Li2BC after structural relaxation, as listed in the Alexandria database.

```
Li2BC
1.0
0.0000 2.5114 2.5114
2.5114 0.0000 2.5114
2.5114 2.5114 0.0000
Li B C
2 1 1
direct
0.2500 0.2500 0.2500
0.7500 0.7500 0.7500
0.0000 0.0000 0.0000
0.5000 0.5000 0.5000
```

* calculated density: 1.92 g cm⁻³
* DOS at the Fermi energy: 0.93 states/eV per cell
* formation energy: 1.130 eV/atom
* total magnetization: 0.000 μB per atom
* uncorrected energy: -15.2 eV per formula unit



# 7
First-principles (GGA-PBE) data for MgTa3Re after structural relaxation, as listed in the Alexandria database.

```
MgTa3Re
1.0
4.8825 0.0000 0.0000
0.0000 4.8825 0.0000
0.0000 0.0000 4.8825
Mg Ta Re
1 3 1
direct
0.0000 0.0000 0.0000
0.0000 0.5000 0.5000
0.5000 0.0000 0.5000
0.5000 0.5000 0.0000
0.5000 0.5000 0.5000
```

* calculated density: 10.75 g cm⁻³
* DOS at the Fermi energy: 3.56 states/eV per cell
* formation energy: 1.138 eV/atom
* total magnetization: 0.000 μB per atom
* uncorrected energy: -43.9 eV per formula unit



# 8
First-principles (GGA-PBE) data for TaAl2V6 after structural relaxation, as listed in the Alexandria database.

```
TaAl2V6
1.0
-1.3001 3.8027 6.7165
1.3001 -3.8027 6.7165
1.3001 3.8027 -6.7165
Ta Al V
1 2 6
direct
0.0000 0.0000 0.0000
0.3416 0.8416 0.5000
0.6584 0.1584 0.5000
0.0054 0.3334 0.6720
0.3351 0.5000 0.8351
0.3386 0.6666 0.6720
0.6614 0.3334 0.3280
0.6649 0.5000 0.1649
0.9946 0.6666 0.3280
```

* calculated density: 6.76 g cm⁻³
* DOS at the Fermi energy: 7.74 states/eV per cell
* formation energy: 0.037 eV/atom
* total magnetization: 0.000 μB per atom
* uncorrected energy: -73.7 eV per formula unit



# 9
First-principles (GGA-PBE) data for CsNdSn2Cl8 after structural relaxation, as listed in the Alexandria database.

```
CsNdSn2Cl8
1.0
6.5370 0.0000 0.0000
0.3531 7.0081 0.0000
0.5260 0.9151 9.6165
Cs Nd Sn Cl
1 1 2 8
direct
0.0000 0.0000 0.0000
0.0000 0.0000 0.5000
0.4852 0.4833 0.2565
0.5148 0.5167 0.7435
0.2293 0.8249 0.2994
0.2417 0.3222 0.4597
0.2603 0.8597 0.7046
0.2685 0.3904 0.0686
0.7315 0.6096 0.9314
0.7397 0.1403 0.2954
0.7583 0.6778 0.5403
0.7707 0.1751 0.7006
```

* calculated density: 3.01 g cm⁻³
* DOS at the Fermi energy: 0.00 states/eV per cell
* formation energy (no corrections): -1.5831 eV per atom
* total magnetization: 0.000 μB per atom
* uncorrected energy: -47.4 eV per formula unit



# 10
First-principles (GGA-PBE) data for DyTm3S4 after structural relaxation, as listed in the Alexandria database.

```
DyTm3S4
1.0
3.8894 -5.4578 0.0000
3.8894 5.4578 0.0000
0.0000 0.0000 3.8226
Dy Tm S
1 3 4
direct
0.0000 0.0000 0.0000
0.0000 0.5000 0.5000
0.5000 0.0000 0.5000
0.5000 0.5000 0.0000
0.2520 0.7480 0.0000
0.2541 0.2541 0.5000
0.7459 0.7459 0.5000
0.7480 0.2520 0.0000
```

* calculated density: 8.16 g cm⁻³
* DOS at the Fermi energy: 4.81 states/eV per cell
* formation energy (no corrections): -1.9425 eV per atom
* total magnetization: 0.000 μB per atom
* uncorrected energy: -50.1 eV per formula unit



# 11
First-principles (GGA-PBE) data for LaNiW after structural relaxation, as listed in the Alexandria database.

```
LaNiW
1.0
0.0000 3.2378 3.2378
3.2378 0.0000 3.2378
3.2378 3.2378 0.0000
La Ni W
1 1 1
direct
0.0000 0.0000 0.0000
0.2500 0.2500 0.2500
0.7500 0.7500 0.7500
```

* calculated density: 9.33 g cm⁻³
* DOS at the Fermi energy: 4.49 states/eV per cell
* formation energy: 1.629 eV/atom
* total magnetization: 0.790 μB per atom
* uncorrected energy: -18.8 eV per formula unit



# 12
First-principles (GGA-PBE) data for TiMnGe2 after structural relaxation, as listed in the Alexandria database.

```
TiMnGe2
1.0
1.9079 1.1015 5.3927
-1.9079 1.1015 5.3927
0.0000 -2.2031 5.3927
Ti Mn Ge
1 1 2
direct
0.0000 0.0000 0.0000
0.8230 0.8230 0.8230
0.4158 0.4158 0.4158
0.5738 0.5738 0.5738
```

* calculated density: 6.06 g cm⁻³
* DOS at the Fermi energy: 1.43 states/eV per cell
* formation energy: -0.172 eV/atom
* total magnetization: 0.681 μB per atom
* uncorrected energy: -27.0 eV per formula unit



# 13
First-principles (GGA-PBE) data for Sc2CdTe after structural relaxation, as listed in the Alexandria database.

```
Sc2CdTe
1.0
-3.9224 3.9224 3.2940
3.9224 -3.9224 3.2940
3.9224 3.9224 -3.2940
Sc Cd Te
4 2 2
direct
0.1196 0.1250 0.4946
0.3750 0.8804 0.0054
0.6304 0.6250 0.5054
0.8750 0.3696 0.9946
0.2500 0.7500 0.5000
0.5000 0.5000 0.0000
0.0000 0.0000 0.0000
0.7500 0.2500 0.5000
```

* calculated density: 5.41 g cm⁻³
* DOS at the Fermi energy: 7.82 states/eV per cell
* formation energy (no corrections): -0.3438 eV per atom
* total magnetization: 0.232 μB per atom
* uncorrected energy: -18.1 eV per formula unit



# 14
First-principles (GGA-PBE) data for BaSb2Cl after structural relaxation, as listed in the Alexandria database.

```
BaSb2Cl
1.0
-2.2096 3.3910 4.6694
2.2096 -3.3910 4.6694
2.2096 3.3910 -4.6694
Ba Sb Cl
1 2 1
direct
0.0000 0.0000 0.0000
0.4892 0.4892 0.0000
0.6837 0.1837 0.5000
0.2202 0.7202 0.5000
```

* calculated density: 4.94 g cm⁻³
* DOS at the Fermi energy: 0.86 states/eV per cell
* formation energy (no corrections): -0.9512 eV per atom
* total magnetization: 0.000 μB per atom
* uncorrected energy: -15.8 eV per formula unit



# 15
First-principles (GGA-PBE) data for MgSc3Al12 after structural relaxation, as listed in the Alexandria database.

```
MgSc3Al12
1.0
4.0987 0.0000 0.0000
0.0000 4.0987 0.0000
0.0000 0.0000 16.5487
Mg Sc Al
1 3 12
direct
0.0000 0.0000 0.0000
0.0000 0.0000 0.2517
0.0000 0.0000 0.5000
0.0000 0.0000 0.7483
0.0000 0.5000 0.1252
0.0000 0.5000 0.3754
0.0000 0.5000 0.6246
0.0000 0.5000 0.8748
0.5000 0.0000 0.1252
0.5000 0.0000 0.3754
0.5000 0.0000 0.6246
0.5000 0.0000 0.8748
0.5000 0.5000 0.0000
0.5000 0.5000 0.2509
0.5000 0.5000 0.5000
0.5000 0.5000 0.7491
```

* calculated density: 2.88 g cm⁻³
* DOS at the Fermi energy: 5.76 states/eV per cell
* formation energy: -0.329 eV/atom
* total magnetization: 0.000 μB per atom
* uncorrected energy: -70.8 eV per formula unit



# 16
First-principles (GGA-PBE) data for MgCoHg after structural relaxation, as listed in the Alexandria database.

```
MgCoHg
1.0
0.0000 3.0550 3.0550
3.0550 0.0000 3.0550
3.0550 3.0550 0.0000
Mg Co Hg
1 1 1
direct
0.0000 0.0000 0.0000
0.7500 0.7500 0.7500
0.5000 0.5000 0.5000
```

* calculated density: 8.26 g cm⁻³
* DOS at the Fermi energy: 5.48 states/eV per cell
* formation energy: 0.335 eV/atom
* total magnetization: 0.065 μB per atom
* uncorrected energy: -8.0 eV per formula unit



# 17
First-principles (GGA-PBE) data for YGaRu3 after structural relaxation, as listed in the Alexandria database.

```
YGaRu3
1.0
4.8664 0.0000 0.0000
0.0000 4.8664 0.0000
0.0000 0.0000 4.8664
Y Ga Ru
1 1 3
direct
0.0000 0.0000 0.0000
0.5000 0.5000 0.5000
0.0000 0.0000 0.5000
0.0000 0.5000 0.0000
0.5000 0.0000 0.0000
```

* calculated density: 6.65 g cm⁻³
* DOS at the Fermi energy: 5.01 states/eV per cell
* formation energy: 1.902 eV/atom
* total magnetization: 0.805 μB per atom
* uncorrected energy: -27.8 eV per formula unit



# 18
First-principles (GGA-PBE) data for LiSb2H after structural relaxation, as listed in the Alexandria database.

```
LiSb2H
1.0
0.0000 3.3026 3.3026
3.3026 0.0000 3.3026
3.3026 3.3026 0.0000
Li Sb H
1 2 1
direct
0.0000 0.0000 0.0000
0.2500 0.2500 0.2500
0.7500 0.7500 0.7500
0.5000 0.5000 0.5000
```

* calculated density: 5.80 g cm⁻³
* DOS at the Fermi energy: 1.86 states/eV per cell
* total magnetization: 0.000 μB per atom
* uncorrected energy: -12.4 eV per formula unit



# 19
First-principles (GGA-PBE) data for NiHgSb2 after structural relaxation, as listed in the Alexandria database.

```
NiHgSb2
1.0
3.1912 0.0000 0.0000
0.0000 3.1912 0.0000
0.0000 0.0000 8.6583
Ni Hg Sb
1 1 2
direct
0.0000 0.0000 0.0000
0.5000 0.5000 0.7953
0.0000 0.0000 0.5092
0.5000 0.5000 0.1650
```

* calculated density: 9.47 g cm⁻³
* DOS at the Fermi energy: 2.11 states/eV per cell
* formation energy (no corrections): 0.1417 eV per atom
* total magnetization: 0.000 μB per atom
* uncorrected energy: -13.8 eV per formula unit



# 20
First-principles (GGA-PBE) data for YGa2Ni after structural relaxation, as listed in the Alexandria database.

```
YGa2Ni
1.0
4.1302 0.0000 0.0000
0.0000 6.6830 0.0000
-2.0426 0.0000 5.0758
Y Ga Ni
2 4 2
direct
0.0720 0.2500 0.1429
0.9280 0.7500 0.8571
0.3555 0.0543 0.7099
0.3555 0.4457 0.7099
0.6445 0.5543 0.2901
0.6445 0.9457 0.2901
0.2099 0.7500 0.4220
0.7901 0.2500 0.5780
```

* calculated density: 6.80 g cm⁻³
* DOS at the Fermi energy: 3.30 states/eV per cell
* formation energy: -0.658 eV/atom
* total magnetization: 0.000 μB per atom
* uncorrected energy: -20.9 eV per formula unit